Record 1
Computed, not measured: a geometry-optimized Tb2Dy6Tm5 structure at the PBE-GGA level of DFT.

Results
The calculation puts the total moment at 0.00 μB per formula unit. The formation energy comes out at 0.10 eV/atom.

Unit cell a=3.5485 b=11.5391 c=19.9550 alpha=90.00 beta=90.00 gamma=90.00
Closest atoms and distances in Å follow each position.
Fractional positions:
1 Tb 0.0000 0.3349 0.2885  4 Dy 3.30-3.67, 6 Tm 3.48-3.69, 2 Tb 3.55
2 Tb 0.0000 0.6651 0.7115  4 Dy 3.30-3.67, 6 Tm 3.48-3.69, 2 Tb 3.55
3 Tb 0.0000 0.8349 0.2115  4 Dy 3.30-3.67, 6 Tm 3.48-3.69, 2 Tb 3.55
4 Tb 0.0000 0.1651 0.7885  4 Dy 3.30-3.67, 6 Tm 3.48-3.69, 2 Tb 3.55
5 Dy 0.0000 0.0835 0.3677  1 Tb 3.30, 6 Tm 3.32-3.48, 4 Dy 3.45-3.55
6 Dy 0.0000 0.9165 0.6323  1 Tb 3.30, 6 Tm 3.32-3.48, 4 Dy 3.45-3.55
7 Dy 0.0000 0.5835 0.1323  1 Tb 3.30, 6 Tm 3.32-3.48, 4 Dy 3.45-3.55
8 Dy 0.0000 0.4165 0.8677  1 Tb 3.30, 6 Tm 3.32-3.48, 4 Dy 3.45-3.55
9 Dy 0.5000 0.3269 0.1321  2 Tm 3.28-3.31, 4 Dy 3.45-3.55, 2 Tb 3.59
10 Dy 0.5000 0.6731 0.8679  2 Tm 3.28-3.31, 4 Dy 3.45-3.55, 2 Tb 3.59
11 Dy 0.5000 0.8269 0.3679  2 Tm 3.28-3.31, 4 Dy 3.45-3.55, 2 Tb 3.59
12 Dy 0.5000 0.1731 0.6321  2 Tm 3.28-3.31, 4 Dy 3.45-3.55, 2 Tb 3.59
13 Dy 0.0000 0.5581 0.4197  6 Tm 3.42-3.55, 5 Dy 3.47-3.72, 1 Tb 3.67
14 Dy 0.0000 0.4419 0.5803  6 Tm 3.42-3.55, 5 Dy 3.47-3.72, 1 Tb 3.67
15 Dy 0.0000 0.0581 0.0803  6 Tm 3.42-3.55, 5 Dy 3.47-3.72, 1 Tb 3.67
16 Dy 0.0000 0.9419 0.9197  6 Tm 3.42-3.55, 5 Dy 3.47-3.72, 1 Tb 3.67
17 Tm 0.5000 0.3014 0.4494  6 Dy 3.48-3.55, 3 Tm 3.55-3.62, 2 Tb 3.69
18 Tm 0.5000 0.6986 0.5506  6 Dy 3.48-3.55, 3 Tm 3.55-3.62, 2 Tb 3.69
19 Tm 0.5000 0.8014 0.0506  6 Dy 3.48-3.55, 3 Tm 3.55-3.62, 2 Tb 3.69
20 Tm 0.5000 0.1986 0.9494  6 Dy 3.48-3.55, 3 Tm 3.55-3.62, 2 Tb 3.69
21 Tm 0.5000 0.5931 0.2744  5 Dy 3.28-3.42, 4 Tb 3.48-3.54, 2 Tm 3.55
22 Tm 0.5000 0.4069 0.7256  5 Dy 3.28-3.42, 4 Tb 3.48-3.54, 2 Tm 3.55
23 Tm 0.5000 0.0931 0.2256  5 Dy 3.28-3.42, 4 Tb 3.48-3.54, 2 Tm 3.55
24 Tm 0.5000 0.9069 0.7744  5 Dy 3.28-3.42, 4 Tb 3.48-3.54, 2 Tm 3.55
25 Tm 0.5000 0.5000 0.0000  6 Dy 3.31-3.32, 4 Tm 3.55-3.62
26 Tm 0.5000 0.0000 0.5000  6 Dy 3.31-3.32, 4 Tm 3.55-3.62


Record 2
Computed, not measured: a geometry-optimized Tb2Dy2Tm5 structure at the PBE-GGA level of DFT.

Results
The calculation puts the total moment at 0.00 μB per formula unit. The formation energy comes out at 0.23 eV/atom. The calculation puts the energy above the most stable polymorph in this dataset at 1.830 eV per formula unit.

Unit cell a=11.5689 b=6.6532 c=9.9487 alpha=109.53 beta=125.55 gamma=90.00
Closest atoms and distances in Å follow each position.
Fractional positions:
1 Tb 0.1198 0.6856 0.2551  4 Tm 3.26-3.62, 2 Dy 3.49-3.51, 1 Tb 3.61
2 Tb 0.8802 0.4305 0.7449  4 Tm 3.26-3.62, 2 Dy 3.49-3.51, 1 Tb 3.61
3 Tb 0.6353 0.1856 0.2551  4 Tm 3.26-3.62, 2 Dy 3.49-3.51, 1 Tb 3.61
4 Tb 0.3647 0.9305 0.7449  4 Tm 3.26-3.62, 2 Dy 3.49-3.51, 1 Tb 3.61
5 Dy 0.0000 0.0039 0.0000  4 Tm 3.21-3.55, 2 Tb 3.51
6 Dy 0.5000 0.5039 0.0000  4 Tm 3.21-3.55, 2 Tb 3.51
7 Dy 0.2648 0.3612 0.5000  3 Tm 3.29-3.38, 2 Tb 3.49
8 Dy 0.7352 0.8612 0.5000  3 Tm 3.29-3.38, 2 Tb 3.49
9 Tm 0.2054 0.6563 0.8933  4 Tm 3.14-3.33, 1 Dy 3.21, 1 Tb 3.26
10 Tm 0.7946 0.7630 0.1067  4 Tm 3.14-3.33, 1 Dy 3.21, 1 Tb 3.26
11 Tm 0.1879 0.1563 0.8933  4 Tm 3.14-3.33, 1 Dy 3.21, 1 Tb 3.26
12 Tm 0.8121 0.2630 0.1067  4 Tm 3.14-3.33, 1 Dy 3.21, 1 Tb 3.26
13 Tm 0.3813 0.0331 0.2846  4 Tm 3.14-3.34, 1 Tb 3.31, 1 Dy 3.38
14 Tm 0.6187 0.7485 0.7154  4 Tm 3.14-3.34, 1 Tb 3.31, 1 Dy 3.38
15 Tm 0.4033 0.5331 0.2846  4 Tm 3.14-3.34, 1 Tb 3.31, 1 Dy 3.38
16 Tm 0.5967 0.2485 0.7154  4 Tm 3.14-3.34, 1 Tb 3.31, 1 Dy 3.38
17 Tm 0.9937 0.6538 0.5000  6 Tm 3.18-3.54, 1 Dy 3.29, 2 Tb 3.55
18 Tm 0.0063 0.1538 0.5000  6 Tm 3.18-3.54, 1 Dy 3.29, 2 Tb 3.55


Record 3
Computed, not measured: a geometry-optimized TbDy4Tm3 structure at the PBE-GGA level of DFT.

Results
The calculation puts the total moment at 0.00 μB per formula unit. The formation energy comes out at 0.22 eV/atom. The calculation puts the energy above the most stable polymorph in this dataset at 1.708 eV per formula unit.

Unit cell a=5.5666 b=3.5351 c=13.2006 alpha=89.98 beta=102.17 gamma=90.00
Closest atoms and distances in Å follow each position.
Fractional positions:
1 Tm 0.0000 0.5000 0.0000  4 Tb 3.30, 2 Tm 3.54
2 Tm 0.8448 0.9992 0.6897  2 Tm 3.54, 10 Dy 3.55-3.74
3 Tm 0.1552 0.0008 0.3103  2 Tm 3.54, 10 Dy 3.55-3.74
4 Tb 0.5000 0.0000 0.0000  4 Dy 3.21, 4 Tm 3.30, 2 Tb 3.54
5 Dy 0.6038 0.5004 0.2076  1 Dy 3.08, 2 Tb 3.21
6 Dy 0.3962 0.4996 0.7924  1 Dy 3.08, 2 Tb 3.21
7 Dy 0.2767 0.4989 0.5534  3 Dy 3.08-3.11
8 Dy 0.7233 0.5011 0.4466  3 Dy 3.08-3.11